i:
## Cs2Zr2P (GGA-PBE)

Data for a relaxed Cs2Zr2P crystal.

```
Cs2Zr2P
1.0
-3.4933 -1.5598 1.0518
-1.0300 -0.2704 -3.8221
2.7589 -12.5181 -1.9172
P Cs Zr
1 2 2
direct
0.0000 0.0000 0.0000
0.5887 0.5887 0.8227
0.4113 0.4113 0.1773
0.7500 0.2500 0.5000
0.2500 0.7500 0.5000
```

Output
Space-group type: I4/mmm (139)
Magnetic moment, μB per cell: 0.000
DOS at the Fermi energy, states/eV per cell: 6.5
Theoretical density, Mg/m³: 4.0

***

ii:
## Cs2Zr2P (GGA-PBE)

Data for a relaxed Cs2Zr2P crystal.

```
Cs2Zr2P
1.0
-5.4252 3.5810 5.3277
-5.3970 -6.3212 -1.2471
1.6858 -2.0498 3.0944
P Cs Zr
2 4 4
direct
0.5000 0.5000 0.0000
0.0000 0.0000 0.0000
0.3643 0.8643 0.0000
0.8643 0.6357 0.0000
0.1357 0.3643 0.0000
0.6357 0.1357 0.0000
0.3097 0.1903 0.5000
0.6903 0.8097 0.5000
0.1903 0.6903 0.5000
0.8097 0.3097 0.5000
```

Output
Space-group type: P4/mbm (127)
Magnetic moment, μB per cell: 0.000
DOS at the Fermi energy, states/eV per cell: 10.9
Theoretical density, Mg/m³: 5.5

***

i is the most stable structure; the next one sits 1011 meV per atom above it.

***

i:
## CsZr3P (GGA-PBE)

Data for a relaxed CsZr3P crystal.

```
CsZr3P
1.0
-0.0903 1.3877 -4.9223
-1.7193 -4.6447 -1.2779
-4.8165 1.6320 0.5485
Zr Cs P
3 1 1
direct
0.0000 0.5000 0.0000
0.0000 0.0000 0.5000
0.5000 0.0000 0.0000
0.5000 0.5000 0.5000
0.0000 0.0000 0.0000
```

Output
Space-group type: Pm-3m (221)
Magnetic moment, μB per cell: 0.000
DOS at the Fermi energy, states/eV per cell: 5.9
Theoretical density, Mg/m³: 5.4

***

ii:
## CsZr3P (GGA-PBE)

Data for a relaxed CsZr3P crystal.

```
CsZr3P
1.0
-5.0982 -1.0338 0.5318
-0.0247 -2.2949 -4.6985
1.1623 -4.5834 2.2326
Zr P Cs
3 1 1
direct
0.0000 0.5000 0.0000
0.0000 0.0000 0.5000
0.5000 0.0000 0.0000
0.5000 0.5000 0.5000
0.0000 0.0000 0.0000
```

Output
Space-group type: Pm-3m (221)
Magnetic moment, μB per cell: 2.389
DOS at the Fermi energy, states/eV per cell: 4.0
Theoretical density, Mg/m³: 5.1

***

i is the most stable structure; the next one sits 1816 meV per atom above it.

***

i:
## CsZrP2 (GGA-PBE)

Data for a relaxed CsZrP2 crystal.

```
CsZrP2
1.0
-0.7521 6.3981 0.5130
-0.5562 0.4496 -6.4228
-8.0875 2.5035 -2.3756
Cs P Zr
2 4 2
direct
0.0000 0.0000 0.0000
0.7500 0.2500 0.5000
0.8750 0.6256 0.7500
0.3744 0.6250 0.2500
0.3750 0.6244 0.7500
0.3756 0.1250 0.2500
0.2500 0.7500 0.5000
0.5000 0.5000 0.0000
```

Output
Space-group type: I4_1/amd (141)
Magnetic moment, μB per cell: 0.000
DOS at the Fermi energy, states/eV per cell: 1.7
Theoretical density, Mg/m³: 3.0

***

ii:
## CsZrP2 (GGA-PBE)

Data for a relaxed CsZrP2 crystal.

```
CsZrP2
1.0
4.8007 -0.2482 1.6057
1.4953 2.7885 3.9592
1.0829 -2.2423 4.4142
P Zr Cs
2 1 1
direct
0.2500 0.2500 0.2500
0.7500 0.7500 0.7500
0.0000 0.0000 0.0000
0.5000 0.5000 0.5000
```

Output
Space-group type: Fm-3m (225)
Magnetic moment, μB per cell: 0.000
DOS at the Fermi energy, states/eV per cell: 1.6
Theoretical density, Mg/m³: 5.2

***

i is the most stable structure; the next one sits 757 meV per atom above it.

***

i:
## CsPaPb2 (GGA-PBE)

Data for a relaxed CsPaPb2 crystal.

```
CsPaPb2
1.0
4.9570 0.0000 0.0000
2.4785 4.2929 0.0000
2.4785 1.4310 8.3282
Pa Pb Cs
1 2 1
direct
0.0000 0.0000 0.0000
0.7188 0.7188 0.8437
0.2812 0.2812 0.1563
0.5000 0.5000 0.5000
```

Output
Space-group type: R-3m (166)
Magnetic moment, μB per cell: 1.545
DOS at the Fermi energy, states/eV per cell: 6.7
Theoretical density, Mg/m³: 7.3

***

ii:
## CsPaPb2 (GGA-PBE)

Data for a relaxed CsPaPb2 crystal.

```
CsPaPb2
1.0
-0.6468 -3.3378 1.0825
3.3666 -0.2800 1.1483
-2.9099 3.6171 9.4138
Cs Pa Pb
1 1 2
direct
0.5000 0.5000 0.5000
0.5000 0.5000 0.0000
0.0000 0.0000 0.7891
0.0000 0.0000 0.2109
```

Output
Space-group type: P4/mmm (123)
Magnetic moment, μB per cell: 0.000
DOS at the Fermi energy, states/eV per cell: 4.5
Theoretical density, Mg/m³: 9.7

***

ii is the most stable structure; the next one sits 267 meV per atom above it.